P | Pm2Dy6Y3 after structural relaxation, computed with PBE.

The spin magnetization comes out at 0.0 μB per cell. For the density of states at the Fermi level, the calculation gives 37.18 states/eV per cell.

The space group is C2/m (No. 12) and the conventional cell measures 6.132, 10.640 and 11.700 Å, with angles of 90.00, 100.18 and 90.00 degrees. Symmetry generates all atoms from Pm at (0.000, 0.167, 0.000), Dy at (0.250, 0.000, 0.251), Dy at (0.250, 0.167, 0.749), Y at (0.000, 0.000, 0.500) and Y at (0.000, 0.335, 0.500).

=====

Q | Pm2Dy6Y3 after structural relaxation, computed with PBE.

The spin magnetization comes out at 0.0 μB per cell. For the density of states at the Fermi level, the calculation gives 32.90 states/eV per cell.

The space group is I4/mmm (No. 139) and the conventional cell measures 4.751, 4.751 and 33.119 Å, with angles of 90.00, 90.00 and 90.00 degrees. Symmetry generates all atoms from Pm at (0.000, 0.000, 0.046), Dy at (0.000, 0.000, 0.193), Dy at (0.000, 0.500, 0.121), Y at (0.000, 0.000, 0.298) and Y at (0.000, 0.000, 0.500).

=====

Of them, Q has the lowest stability.

=====

P | Pm2Dy3Y6 after structural relaxation, computed with PBE.

The spin magnetization comes out at 0.0 μB per cell. For the density of states at the Fermi level, the calculation gives 35.07 states/eV per cell.

The space group is I4/mmm (No. 139) and the conventional cell measures 4.739, 4.739 and 33.519 Å, with angles of 90.00, 90.00 and 90.00 degrees. Symmetry generates all atoms from Pm at (0.000, 0.000, 0.045), Dy at (0.000, 0.000, 0.301), Dy at (0.000, 0.000, 0.500), Y at (0.000, 0.000, 0.199) and Y at (0.000, 0.500, 0.122).

=====

Q | Pm2Dy3Y6 after structural relaxation, computed with PBE.

The spin magnetization comes out at 0.0 μB per cell. For the density of states at the Fermi level, the calculation gives 38.37 states/eV per cell.

The space group is C2/m (No. 12) and the conventional cell measures 6.145, 10.660 and 11.714 Å, with angles of 90.00, 100.17 and 90.00 degrees. Symmetry generates all atoms from Pm at (0.000, 0.167, 0.000), Dy at (0.000, 0.000, 0.500), Dy at (0.000, 0.335, 0.500), Y at (0.249, 0.500, 0.748) and Y at (0.250, 0.167, 0.748).

=====

Of them, P has the lowest stability.

=====

P | PmDy2Y2 after structural relaxation, computed with PBE.

The spin magnetization comes out at 0.0 μB per cell. For the density of states at the Fermi level, the calculation gives 10.32 states/eV per cell.

The space group is P4/mbm (No. 127) and the conventional cell measures 9.379, 9.379 and 3.756 Å, with angles of 90.00, 90.00 and 90.00 degrees. Symmetry generates all atoms from Pm at (0.000, 0.000, 0.000), Dy at (0.126, 0.374, 0.000) and Y at (0.172, 0.672, 0.500).

=====

Q | PmDy2Y2 after structural relaxation, computed with PBE.

The spin magnetization comes out at 0.0 μB per cell. For the density of states at the Fermi level, the calculation gives 68.92 states/eV per cell.

The space group is Fddd (No. 70, origin choice 2) and the conventional cell measures 5.564, 11.670 and 22.602 Å, with angles of 90.00, 90.00 and 90.00 degrees. Symmetry generates all atoms from Pm at (0.125, 0.125, 0.125), Dy at (0.000, 0.000, 0.000) and Y at (0.125, 0.292, 0.625).

=====

Of them, Q has the lowest stability.

=====

P | Pm2Dy4Y5 after structural relaxation, computed with PBE.

The spin magnetization comes out at 0.0 μB per cell. For the density of states at the Fermi level, the calculation gives 33.81 states/eV per cell.

The space group is C2/m (No. 12) and the conventional cell measures 16.579, 6.690 and 6.669 Å, with angles of 90.00, 99.44 and 90.00 degrees. Symmetry generates all atoms from Pm at (0.202, 0.000, 0.297), Dy at (0.087, 0.500, 0.405), Dy at (0.244, 0.000, 0.803), Y at (0.000, 0.000, 0.500) and Y at (0.090, 0.262, 0.908).

=====

Q | Pm2Dy4Y5 after structural relaxation, computed with PBE.

The spin magnetization comes out at 0.0 μB per cell. For the density of states at the Fermi level, the calculation gives 38.81 states/eV per cell.

The space group is C2/m (No. 12) and the conventional cell measures 17.266, 3.549 and 11.735 Å, with angles of 90.00, 95.03 and 90.00 degrees. Symmetry generates all atoms from Pm at (0.137, 0.000, 0.314), Dy at (0.179, 0.500, 0.572), Dy at (0.232, 0.000, 0.854), Y at (0.000, 0.000, 0.500), Y at (0.041, 0.500, 0.782) and Y at (0.093, 0.000, 0.043).

=====

Of them, P has the lowest stability.

=====

P | PmDy12Y6 after structural relaxation, computed with PBE.

The spin magnetization comes out at 0.0 μB per cell. For the density of states at the Fermi level, the calculation gives 69.88 states/eV per cell.

The space group is R-3m (No. 166, hexagonal axes) and the conventional cell measures 13.3854, 13.3854 and 12.7663 Å, with angles of 90.00, 90.00 and 120.00 degrees. Symmetry generates all atoms from Pm at (0.0000, 0.0000, 0.0000), Dy at (0.0000, 0.3822, 0.5000), Dy at (0.0953, 0.1907, 0.3747) and Y at (0.0257, 0.5128, 0.7171).

=====

Q | PmDy12Y6 after structural relaxation, computed with PBE.

The spin magnetization comes out at 0.0 μB per cell. For the density of states at the Fermi level, the calculation gives 107.91 states/eV per cell.

The space group is R-3m (No. 166, hexagonal axes) and the conventional cell measures 13.1824, 13.1824 and 12.6255 Å, with angles of 90.00, 90.00 and 120.00 degrees. Symmetry generates all atoms from Pm at (0.0000, 0.0000, 0.0000), Dy at (0.0000, 0.2567, 0.5000), Dy at (0.0916, 0.1832, 0.2640) and Y at (0.0369, 0.5184, 0.6210).

=====

Of them, P has the lowest stability.

=====

P | Pm2Dy5Y2 after structural relaxation, computed with PBE.

The spin magnetization comes out at 0.0 μB per cell. For the density of states at the Fermi level, the calculation gives 58.48 states/eV per cell.

The space group is Ima2 (No. 46) and the conventional cell measures 14.929, 11.814 and 6.736 Å, with angles of 90.00, 90.00 and 90.00 degrees. Symmetry generates all atoms from Pm at (0.127, 0.000, 0.000), Dy at (0.052, 0.250, 0.148), Dy at (0.143, 0.737, 0.824), Dy at (0.250, 0.245, 0.849), Y at (0.000, 0.000, 0.465) and Y at (0.250, 0.511, 0.045).

=====

Q | Pm2Dy5Y2 after structural relaxation, computed with PBE.

The spin magnetization comes out at 0.0 μB per cell. For the density of states at the Fermi level, the calculation gives 23.83 states/eV per cell.

The space group is C2/m (No. 12) and the conventional cell measures 15.164, 5.049 and 7.989 Å, with angles of 90.00, 108.42 and 90.00 degrees. Symmetry generates all atoms from Pm at (0.112, 0.000, 0.168), Dy at (0.000, 0.000, 0.500), Dy at (0.167, 0.500, 0.500), Dy at (0.222, 0.000, 0.832) and Y at (0.056, 0.500, 0.832).

=====

Of them, P has the lowest stability.